1.
The following is a DFT calculation (PBE-GGA) of a relaxed structure of Nd12Ag3N5.

Calculated values
DOS at the Fermi energy in states/eV per atom: 1.10
E_form (uncorrected) in eV per atom: -0.62

Cell: 13.9386 13.9386 13.9386 Å, 109.47 109.47 109.47°
Closest atoms and distances in Å follow each position.
Element x y z (fractional)
Nd 0.0148 0.1992 0.1112  2 N 2.33-2.59
Nd 0.0148 0.3156 0.9036  2 N 2.33-2.59
Nd 0.0880 0.6992 0.6844  2 N 2.33-2.59
Nd 0.0880 0.8888 0.4036  2 N 2.33-2.59
Nd 0.0964 0.6112 0.4120  2 N 2.33-2.59
Nd 0.0964 0.9852 0.6844  2 N 2.33-2.59
Nd 0.1112 0.0148 0.1992  2 N 2.33-2.59
Nd 0.1112 0.5964 0.9120  2 N 2.33-2.59
Nd 0.1844 0.1992 0.5880  2 N 2.33-2.59
Nd 0.1844 0.4852 0.5964  2 N 2.33-2.59
Nd 0.1992 0.1112 0.0148  2 N 2.33-2.59
Nd 0.1992 0.5880 0.1844  2 N 2.33-2.59
Nd 0.3008 0.3156 0.9120  2 N 2.33-2.59
Nd 0.3008 0.4852 0.3888  2 N 2.33-2.59
Nd 0.3156 0.9036 0.0148  2 N 2.33-2.59
Nd 0.3156 0.9120 0.3008  2 N 2.33-2.59
Nd 0.3888 0.3008 0.4852  2 N 2.33-2.59
Nd 0.3888 0.5880 0.9036  2 N 2.33-2.59
Nd 0.4036 0.0880 0.8888  2 N 2.33-2.59
Nd 0.4036 0.8156 0.5148  2 N 2.33-2.59
Nd 0.4120 0.0964 0.6112  2 N 2.33-2.59
Nd 0.4120 0.8156 0.8008  2 N 2.33-2.59
Nd 0.4852 0.3888 0.3008  2 N 2.33-2.59
Nd 0.4852 0.5964 0.1844  2 N 2.33-2.59
Nd 0.5148 0.4036 0.8156  2 N 2.33-2.59
Nd 0.5148 0.6112 0.6992  2 N 2.33-2.59
Nd 0.5880 0.1844 0.1992  2 N 2.33-2.59
Nd 0.5880 0.9036 0.3888  2 N 2.33-2.59
Nd 0.5964 0.1844 0.4852  2 N 2.33-2.59
Nd 0.5964 0.9120 0.1112  2 N 2.33-2.59
Nd 0.6112 0.4120 0.0964  2 N 2.33-2.59
Nd 0.6112 0.6992 0.5148  2 N 2.33-2.59
Nd 0.6844 0.0880 0.6992  2 N 2.33-2.59
Nd 0.6844 0.0964 0.9852  2 N 2.33-2.59
Nd 0.6992 0.5148 0.6112  2 N 2.33-2.59
Nd 0.6992 0.6844 0.0880  2 N 2.33-2.59
Nd 0.8008 0.4120 0.8156  2 N 2.33-2.59
Nd 0.8008 0.8888 0.9852  2 N 2.33-2.59
Nd 0.8156 0.5148 0.4036  2 N 2.33-2.59
Nd 0.8156 0.8008 0.4120  2 N 2.33-2.59
Nd 0.8888 0.4036 0.0880  2 N 2.33-2.59
Nd 0.8888 0.9852 0.8008  2 N 2.33-2.59
Nd 0.9036 0.0148 0.3156  2 N 2.33-2.59
Nd 0.9036 0.3888 0.5880  2 N 2.33-2.59
Nd 0.9120 0.1112 0.5964  2 N 2.33-2.59
Nd 0.9120 0.3008 0.3156  2 N 2.33-2.59
Nd 0.9852 0.6844 0.0964  2 N 2.33-2.59
Nd 0.9852 0.8008 0.8888  2 N 2.33-2.59
Ag 0.1250 0.2500 0.3750  8 Nd 3.19-3.27
Ag 0.1250 0.3750 0.7500  8 Nd 3.19-3.27
Ag 0.2500 0.3750 0.1250  8 Nd 3.19-3.27
Ag 0.2500 0.8750 0.6250  8 Nd 3.19-3.27
Ag 0.3750 0.1250 0.2500  8 Nd 3.19-3.27
Ag 0.3750 0.7500 0.1250  8 Nd 3.19-3.27
Ag 0.6250 0.2500 0.8750  8 Nd 3.19-3.27
Ag 0.6250 0.8750 0.7500  8 Nd 3.19-3.27
Ag 0.7500 0.1250 0.3750  8 Nd 3.19-3.27
Ag 0.7500 0.6250 0.8750  8 Nd 3.19-3.27
Ag 0.8750 0.6250 0.2500  8 Nd 3.19-3.27
Ag 0.8750 0.7500 0.6250  8 Nd 3.19-3.27
N 0.0000 0.0000 0.0000  6 Nd 2.59
N 0.0000 0.0000 0.5000  6 Nd 2.59
N 0.0000 0.5000 0.0000  6 Nd 2.59
N 0.0000 0.5000 0.5000  6 Nd 2.59
N 0.1250 0.7500 0.8750  4 Nd 2.33
N 0.1250 0.8750 0.2500  4 Nd 2.33
N 0.2500 0.1250 0.8750  4 Nd 2.33
N 0.2500 0.6250 0.3750  4 Nd 2.33
N 0.3750 0.2500 0.6250  4 Nd 2.33
N 0.3750 0.6250 0.7500  4 Nd 2.33
N 0.5000 0.0000 0.0000  6 Nd 2.59
N 0.5000 0.0000 0.5000  6 Nd 2.59
N 0.5000 0.5000 0.0000  6 Nd 2.59
N 0.5000 0.5000 0.5000  6 Nd 2.59
N 0.6250 0.3750 0.2500  4 Nd 2.33
N 0.6250 0.7500 0.3750  4 Nd 2.33
N 0.7500 0.3750 0.6250  4 Nd 2.33
N 0.7500 0.8750 0.1250  4 Nd 2.33
N 0.8750 0.1250 0.7500  4 Nd 2.33
N 0.8750 0.2500 0.1250  4 Nd 2.33



2.
The following is a DFT calculation (PBE-GGA) of a relaxed structure of Nd2AgP2N6.

Calculated values
DOS at the Fermi energy in states/eV per atom: 0.26
E_form (uncorrected) in eV per atom: -0.54

Cell: 5.2120 6.0045 6.2624 Å, 62.98 89.45 67.90°
Closest atoms and distances in Å follow each position.
Element x y z (fractional)
Nd 0.2116 0.1125 0.2034  6 N 2.47-2.75
Nd 0.7884 0.8875 0.7966  6 N 2.47-2.75
Ag 0.0000 0.5000 0.5000  4 N 2.20-2.25
P 0.4953 0.5310 0.7513  3 N 1.57-1.61
P 0.5047 0.4690 0.2487  3 N 1.57-1.61
N 0.1726 0.5711 0.1640  1 P 1.61
N 0.2966 0.8435 0.6531  1 P 1.57
N 0.3995 0.3006 0.7744  1 P 1.59
N 0.6005 0.6994 0.2256  1 P 1.59
N 0.7034 0.1565 0.3469  1 P 1.57
N 0.8274 0.4289 0.8360  1 P 1.61



3.
The following is a DFT calculation (PBE-GGA) of a relaxed structure of PmNd2AgN.

Calculated values
DOS at the Fermi energy in states/eV per atom: 1.03
E_form (uncorrected) in eV per atom: -0.60

Cell: 5.0190 5.0190 4.9398 Å, 90.00 90.00 90.00°
Closest atoms and distances in Å follow each position.
Element x y z (fractional)
Pm 0.0000 0.0000 0.0000  2 N 2.47
Nd 0.0000 0.5000 0.5000  2 N 2.51
Nd 0.5000 0.0000 0.5000  2 N 2.51
Ag 0.5000 0.5000 0.0000  8 Nd 3.52, 4 Pm 3.55
N 0.0000 0.0000 0.5000  2 Pm 2.47, 4 Nd 2.51



4.
The following is a DFT calculation (PBE-GGA) of a relaxed structure of Pr2NdAgN.

Calculated values
DOS at the Fermi energy in states/eV per atom: 1.10
E_form (uncorrected) in eV per atom: -0.56

Cell: 5.0666 5.0666 4.9881 Å, 90.00 90.00 90.00°
Closest atoms and distances in Å follow each position.
Element x y z (fractional)
Pr 0.0000 0.5000 0.0000  2 N 2.53
Pr 0.5000 0.0000 0.0000  2 N 2.53
Nd 0.0000 0.0000 0.5000  2 N 2.49
Ag 0.5000 0.5000 0.5000  8 Pr 3.55, 4 Nd 3.58
N 0.0000 0.0000 0.0000  2 Nd 2.49, 4 Pr 2.53